Record 1
Entry from the Alexandria database: a relaxed structure of CaBeCo (PBE).

Output
For the energy, the calculation gives -12.271 eV/f.u. The value obtained for the density of states at the Fermi level is 0.55 states/eV per atom. The spin magnetization comes out at 0.00 Bohr magnetons per cell. As for the symmetry: P-6m2 (187).

a b c (Å): 3.7482 3.7482 4.1861
angles (deg): 90.00 90.00 120.00
Positions (direct):
1 Be 0.0000 0.0000 0.8334
2 Ca 0.6667 0.3333 0.3333
3 Co 0.3333 0.6667 0.8332

---

Record 2
Entry from the Alexandria database: a relaxed structure of Li3PdPb (PBE).

Output
For the energy, the calculation gives -16.193 eV/f.u. The value obtained for the density of states at the Fermi level is 0.25 states/eV per atom. The spin magnetization comes out at 0.00 Bohr magnetons per cell. As for the symmetry: Pmmn (59).

a b c (Å): 6.4685 6.0252 4.5459
angles (deg): 90.00 90.00 90.00
Positions (direct):
1 Li 0.2941 0.9559 0.2500
2 Li 0.7059 0.0441 0.7500
3 Li 0.2941 0.5441 0.2500
4 Li 0.7059 0.4559 0.7500
5 Li 0.0380 0.7500 0.7500
6 Li 0.9620 0.2500 0.2500
7 Pd 0.4255 0.7500 0.7500
8 Pd 0.5745 0.2500 0.2500
9 Pb 0.7227 0.7500 0.2500
10 Pb 0.2773 0.2500 0.7500

---

Record 3
Entry from the Alexandria database: a relaxed structure of MgTaCl2 (PBE).

Output
The value obtained for the density of states at the Fermi level is 0.41 states/eV per atom. The spin magnetization comes out at 0.00 Bohr magnetons per cell. As for the symmetry: Cmm2 (35). The value obtained for the uncorrected formation energy is -565 meV per atom.

a b c (Å): 3.1022 3.1022 9.6482
angles (deg): 90.00 90.00 110.61
Positions (direct):
1 Cl 0.0000 0.0000 0.9333
2 Cl 0.5000 0.5000 0.3279
3 Mg 0.0000 0.0000 0.4934
4 Ta 0.5000 0.5000 0.7455

---

Record 4
Entry from the Alexandria database: a relaxed structure of PaCd2Pt5 (PBE).

Output
For the energy, the calculation gives -47.199 eV/f.u. The value obtained for the density of states at the Fermi level is 0.32 states/eV per atom. The spin magnetization comes out at 0.00 Bohr magnetons per cell. As for the symmetry: I4/mmm (139).

a b c (Å): 4.1782 4.1782 8.7467
angles (deg): 103.82 103.82 90.00
Positions (direct):
1 Pa 0.0000 0.0000 0.0000
2 Cd 0.2550 0.2550 0.5100
3 Cd 0.7450 0.7450 0.4900
4 Pt 0.5000 0.5000 0.0000
5 Pt 0.6220 0.1220 0.2441
6 Pt 0.1220 0.6220 0.2441
7 Pt 0.3780 0.8780 0.7559
8 Pt 0.8780 0.3780 0.7559